DFT (PBE) results for a geometry-optimized Nd2Hf2Ni15 structure.

Lattice parameters (Å, degrees): 6.4658 6.4658 6.4658 82.05 82.05 82.05
Fractional coordinates of all 19 atoms:
Nd1 0.1446 0.1446 0.1446
Nd2 0.8554 0.8554 0.8554
Hf1 0.3919 0.3919 0.3919
Hf2 0.6081 0.6081 0.6081
Ni1 0.0000 0.5000 0.5000
Ni2 0.1555 0.1555 0.6561
Ni3 0.1555 0.6561 0.1555
Ni4 0.2045 0.5000 0.7955
Ni5 0.2045 0.7955 0.5000
Ni6 0.3439 0.8445 0.8445
Ni7 0.5000 0.0000 0.5000
Ni8 0.5000 0.2045 0.7955
Ni9 0.5000 0.5000 0.0000
Ni10 0.5000 0.7955 0.2045
Ni11 0.6561 0.1555 0.1555
Ni12 0.7955 0.2045 0.5000
Ni13 0.7955 0.5000 0.2045
Ni14 0.8445 0.3439 0.8445
Ni15 0.8445 0.8445 0.3439

Results
**E_form**: -281 meV/atom
**Uncorrected energy**: -6.39 eV per atom
**Fermi-level density of states**: 27.41 states/eV/f.u.

=====

DFT (PBE) results for a geometry-optimized NdHfNi4 structure.

Lattice parameters (Å, degrees): 5.0406 5.0406 5.0406 60.00 60.00 60.00
Fractional coordinates of all 6 atoms:
Nd1 0.0000 0.0000 0.0000
Hf1 0.2500 0.2500 0.2500
Ni1 0.1286 0.6238 0.6238
Ni2 0.6238 0.1286 0.6238
Ni3 0.6238 0.6238 0.1286
Ni4 0.6238 0.6238 0.6238

Results
**E_form**: -299 meV/atom
**Uncorrected energy**: -6.61 eV per atom
**Fermi-level density of states**: 4.35 states/eV/f.u.

=====

DFT (PBE) results for a geometry-optimized NdHf2Ni9 structure.

Lattice parameters (Å, degrees): 8.4287 8.4287 8.4287 33.89 33.89 33.89
Fractional coordinates of all 12 atoms:
Nd1 0.0000 0.0000 0.0000
Hf1 0.1410 0.1410 0.1410
Hf2 0.8590 0.8590 0.8590
Ni1 0.0813 0.5894 0.5894
Ni2 0.3336 0.3336 0.3336
Ni3 0.4106 0.4106 0.9187
Ni4 0.4106 0.9187 0.4106
Ni5 0.5000 0.5000 0.5000
Ni6 0.5894 0.0813 0.5894
Ni7 0.5894 0.5894 0.0813
Ni8 0.6664 0.6664 0.6664
Ni9 0.9187 0.4106 0.4106

Results
**E_form**: -422 meV/atom
**Uncorrected energy**: -6.81 eV per atom
**Fermi-level density of states**: 12.28 states/eV/f.u.